[1]
# Dy6As5Se, optimized geometry, DFT PBE
# **V**: 295.29 Å³/f.u.
# **Raw total energy**: -6.150 eV/atom
# **SG**: C2/m, No. 12
# **Formation energy (no corrections)**: -37.39 kcal/mol of atoms
# **Total moment**: 0.000 μB per formula unit
data_Dy6As5Se
_chemical_formula_sum 'Dy6 As5 Se1'
_space_group_name_H-M_alt 'P 1'
_space_group_IT_number 1
_cell_length_a 7.127
_cell_length_b 7.125
_cell_length_c 7.122
_cell_angle_alpha 59.98
_cell_angle_beta 80.41
_cell_angle_gamma 70.55
loop_
_space_group_symop_operation_xyz
'x,y,z'
loop_
_atom_site_label
_atom_site_fract_x
_atom_site_fract_y
_atom_site_fract_z
As1 0.500 0.835 0.330
Dy1 0.747 0.084 0.339
As2 0.500 0.165 0.670
Dy2 0.747 0.746 0.000
Dy3 0.253 0.916 0.661
Dy4 0.253 0.577 0.339
As3 0.000 0.333 0.334
As4 0.500 0.500 0.000
Se1 0.000 0.000 0.000
Dy5 0.747 0.423 0.661
As5 0.000 0.667 0.666
Dy6 0.253 0.254 0.000

---

[2]
# SmGdTmOs, optimized geometry, DFT PBE
# **Calculated formation energy**: 168 meV per atom
# **V**: 96.90 Å³/f.u.
# **Raw total energy**: -8.457 eV/atom
# **SG**: F-43m, No. 216
# **Total moment**: 7.253 μB per formula unit
data_SmGdTmOs
_chemical_formula_sum 'Sm1 Gd1 Tm1 Os1'
_space_group_name_H-M_alt 'P 1'
_space_group_IT_number 1
_cell_length_a 5.156
_cell_length_b 5.156
_cell_length_c 5.156
_cell_angle_alpha 60.00
_cell_angle_beta 60.00
_cell_angle_gamma 60.00
loop_
_space_group_symop_operation_xyz
'x,y,z'
loop_
_atom_site_label
_atom_site_fract_x
_atom_site_fract_y
_atom_site_fract_z
Os1 0.000 0.000 0.000
Sm1 0.250 0.250 0.250
Gd1 0.750 0.750 0.750
Tm1 0.500 0.500 0.500

---

[3]
# Y5HoSe6, optimized geometry, DFT PBE
# **V**: 288.33 Å³/f.u.
# **Raw total energy**: -6.576 eV/atom
# **SG**: C2/m, No. 12
# **Formation energy (no corrections)**: -40.57 kcal/mol of atoms
# **Total moment**: 0.000 μB per formula unit
data_Y5HoSe6
_chemical_formula_sum 'Y5 Ho1 Se6'
_space_group_name_H-M_alt 'P 1'
_space_group_IT_number 1
_cell_length_a 7.055
_cell_length_b 7.069
_cell_length_c 7.083
_cell_angle_alpha 60.06
_cell_angle_beta 80.36
_cell_angle_gamma 70.39
loop_
_space_group_symop_operation_xyz
'x,y,z'
loop_
_atom_site_label
_atom_site_fract_x
_atom_site_fract_y
_atom_site_fract_z
Se1 0.750 0.752 0.000
Y1 0.000 0.333 0.334
Y2 0.500 0.832 0.337
Y3 0.500 0.168 0.663
Y4 0.500 0.500 0.000
Se2 0.751 0.083 0.331
Se3 0.249 0.917 0.669
Y5 0.000 0.667 0.666
Se4 0.249 0.586 0.331
Ho1 0.000 0.000 0.000
Se5 0.751 0.414 0.669
Se6 0.250 0.248 0.000